# 1
Material: Rb2CdCl
Method: DFT, PBE-GGA
State: optimized geometry

```
Rb2CdCl
1.0
-4.680 4.680 4.721
4.680 -4.680 4.721
4.680 4.680 -4.721
Rb Cd Cl
4 2 2
Direct
0.064 0.625 0.939
0.375 0.314 0.439
0.686 0.125 0.061
0.875 0.936 0.561
0.250 0.750 0.500
0.500 0.500 0.000
0.000 0.000 0.000
0.750 0.250 0.500
```

Uncorrected formation energy ... -788 meV per atom
Final energy ... -1.962 eV/atom
Relative energy among the computed polymorphs ... 92 meV per atom
Calculated density ... 2560 kg/m³
DOS at the Fermi energy ... 0.855 states/eV per atom
SG ... No. 122

=====

# 2
Material: LiDy12In6
Method: DFT, PBE-GGA
State: optimized geometry

```
LiDy12In6
1.0
5.637 3.254 4.763
-5.637 3.254 4.763
0.000 -6.509 4.763
Li Dy In
1 12 6
Direct
0.000 0.000 0.000
0.062 0.129 0.377
0.129 0.377 0.062
0.192 0.474 0.562
0.377 0.062 0.129
0.438 0.808 0.526
0.474 0.562 0.192
0.526 0.438 0.808
0.562 0.192 0.474
0.623 0.938 0.871
0.808 0.526 0.438
0.871 0.623 0.938
0.938 0.871 0.623
0.117 0.748 0.264
0.252 0.736 0.883
0.264 0.117 0.748
0.736 0.883 0.252
0.748 0.264 0.117
0.883 0.252 0.736
```

Final energy ... -4.074 eV/atom
Calculated density ... 8382 kg/m³
DOS at the Fermi energy ... 1.079 states/eV per atom
Energy of formation ... -0.202 eV/atom
SG ... No. 148

=====

Number 1: total magnetic moment 0.00 μB/atom. Number 2: total magnetic moment 0.00 μB/atom.